Density functional theory data (GGA-PBE) for a relaxed Ac5SiPb4 crystal.

Formation energy (no corrections) (kJ per mole of atoms): -36.6

Structure (CIF):
```
data_Ac5SiPb4
_chemical_formula_sum 'Ac10 Si2 Pb8'
_symmetry_space_group_name_H-M 'I 4/m'
_symmetry_Int_Tables_number 87
_symmetry_space_group_name_Hall '-I 4'
_cell_length_a 10.734
_cell_length_b 10.734
_cell_length_c 6.790
_cell_angle_alpha 90.00
_cell_angle_beta 90.00
_cell_angle_gamma 90.00
loop_
_atom_site_label
_atom_site_type_symbol
_atom_site_fract_x
_atom_site_fract_y
_atom_site_fract_z
Ac1 Ac 0.000 0.000 0.000
Ac2 Ac 0.099 0.725 0.500
Si1 Si 0.000 0.000 0.500
Pb1 Pb 0.083 0.689 0.000
```

Density functional theory data (GGA-PBE) for a relaxed CaMg2Au crystal.

Structure (CIF):
```
data_CaMg2Au
_chemical_formula_sum 'Ca1 Mg2 Au1'
_symmetry_space_group_name_H-M 'P 4 m m'
_symmetry_Int_Tables_number 99
_symmetry_space_group_name_Hall 'P 4 -2'
_cell_length_a 3.549
_cell_length_b 3.549
_cell_length_c 7.561
_cell_angle_alpha 90.00
_cell_angle_beta 90.00
_cell_angle_gamma 90.00
loop_
_atom_site_label
_atom_site_type_symbol
_atom_site_fract_x
_atom_site_fract_y
_atom_site_fract_z
Ca1 Ca 0.000 0.000 0.000
Mg1 Mg 0.000 0.000 0.570
Mg2 Mg 0.500 0.500 0.324
Au1 Au 0.500 0.500 0.747
```

Density functional theory data (GGA-PBE) for a relaxed Sr5Cu crystal.

Structure (CIF):
```
data_Sr5Cu
_chemical_formula_sum 'Sr10 Cu2'
_symmetry_space_group_name_H-M 'C m m m'
_symmetry_Int_Tables_number 65
_symmetry_space_group_name_Hall '-C 2 2'
_cell_length_a 4.421
_cell_length_b 18.867
_cell_length_c 6.537
_cell_angle_alpha 90.00
_cell_angle_beta 90.00
_cell_angle_gamma 90.00
loop_
_atom_site_label
_atom_site_type_symbol
_atom_site_fract_x
_atom_site_fract_y
_atom_site_fract_z
Sr1 Sr 0.000 0.000 0.000
Sr2 Sr 0.000 0.129 0.500
Sr3 Sr 0.000 0.332 0.000
Cu1 Cu 0.000 0.500 0.500
```

Density functional theory data (GGA-PBE) for a relaxed Fe2ReRu crystal.

Structure (CIF):
```
data_Fe2ReRu
_chemical_formula_sum 'Fe2 Re1 Ru1'
_symmetry_space_group_name_H-M 'P 4/m m m'
_symmetry_Int_Tables_number 123
_symmetry_space_group_name_Hall '-P 4 2'
_cell_length_a 4.221
_cell_length_b 4.221
_cell_length_c 2.942
_cell_angle_alpha 90.00
_cell_angle_beta 90.00
_cell_angle_gamma 90.00
loop_
_atom_site_label
_atom_site_type_symbol
_atom_site_fract_x
_atom_site_fract_y
_atom_site_fract_z
Fe1 Fe 0.000 0.500 0.000
Re1 Re 0.000 0.000 0.500
Ru1 Ru 0.500 0.500 0.500
```

Density functional theory data (GGA-PBE) for a relaxed UTc4W crystal.

Structure (CIF):
```
data_UTc4W
_chemical_formula_sum 'U4 Tc16 W4'
_symmetry_space_group_name_H-M 'F -4 3 m'
_symmetry_Int_Tables_number 216
_symmetry_space_group_name_Hall 'F -4 2 3'
_cell_length_a 7.403
_cell_length_b 7.403
_cell_length_c 7.403
_cell_angle_alpha 90.00
_cell_angle_beta 90.00
_cell_angle_gamma 90.00
loop_
_atom_site_label
_atom_site_type_symbol
_atom_site_fract_x
_atom_site_fract_y
_atom_site_fract_z
U1 U 0.000 0.000 0.000
Tc1 Tc 0.124 0.124 0.376
W1 W 0.250 0.250 0.750
```

Density functional theory data (GGA-PBE) for a relaxed Tl2AsCl crystal.

Formation energy (no corrections) (kJ per mole of atoms): -13.2

Structure (CIF):
```
data_Tl2AsCl
_chemical_formula_sum 'Tl4 As2 Cl2'
_symmetry_space_group_name_H-M 'I -4 m 2'
_symmetry_Int_Tables_number 119
_symmetry_space_group_name_Hall 'I -4 -2'
_cell_length_a 4.237
_cell_length_b 4.237
_cell_length_c 13.923
_cell_angle_alpha 90.00
_cell_angle_beta 90.00
_cell_angle_gamma 90.00
loop_
_atom_site_label
_atom_site_type_symbol
_atom_site_fract_x
_atom_site_fract_y
_atom_site_fract_z
Tl1 Tl 0.000 0.000 0.000
Tl2 Tl 0.000 0.500 0.250
As1 As 0.000 0.500 0.750
Cl1 Cl 0.000 0.000 0.500
```

Density functional theory data (GGA-PBE) for a relaxed Y6Al5Zn crystal.

Structure (CIF):
```
data_Y6Al5Zn
_chemical_formula_sum 'Y12 Al10 Zn2'
_symmetry_space_group_name_H-M 'C m m m'
_symmetry_Int_Tables_number 65
_symmetry_space_group_name_Hall '-C 2 2'
_cell_length_a 5.110
_cell_length_b 15.339
_cell_length_c 7.165
_cell_angle_alpha 90.00
_cell_angle_beta 90.00
_cell_angle_gamma 90.00
loop_
_atom_site_label
_atom_site_type_symbol
_atom_site_fract_x
_atom_site_fract_y
_atom_site_fract_z
Y1 Y 0.000 0.000 0.247
Y2 Y 0.000 0.335 0.249
Al1 Al 0.000 0.166 0.000
Al2 Al 0.000 0.167 0.500
Al3 Al 0.000 0.500 0.500
Zn1 Zn 0.000 0.500 0.000
```

Density functional theory data (GGA-PBE) for a relaxed LiLa2Zr2 crystal.

Structure (CIF):
```
data_LiLa2Zr2
_chemical_formula_sum 'Li2 La4 Zr4'
_symmetry_space_group_name_H-M 'I 4/m m m'
_symmetry_Int_Tables_number 139
_symmetry_space_group_name_Hall '-I 4 2'
_cell_length_a 4.480
_cell_length_b 4.480
_cell_length_c 15.192
_cell_angle_alpha 90.00
_cell_angle_beta 90.00
_cell_angle_gamma 90.00
loop_
_atom_site_label
_atom_site_type_symbol
_atom_site_fract_x
_atom_site_fract_y
_atom_site_fract_z
Li1 Li 0.000 0.000 0.000
La1 La 0.000 0.500 0.250
Zr1 Zr 0.000 0.000 0.417
```

Number 1: raw total energy -89.17 eV for the cell shown. Number 2: raw total energy -10.01 eV for the cell shown. Number 3: raw total energy -23.33 eV for the cell shown. Number 4: raw total energy -37.99 eV for the cell shown. Number 5: raw total energy -256.10 eV for the cell shown. Number 6: raw total energy -23.55 eV for the cell shown. Number 7: raw total energy -127.63 eV for the cell shown. Number 8: raw total energy -49.92 eV for the cell shown.